# Ti3PAu (PBE-GGA, relaxed)
# - calculated density (g/cm³) = 6.73
# - DFT formation energy (eV per atom) = -0.323
# - energy relative to the lowest polymorph listed for this composition (meV/atom) = 0
data_Ti3PAu
_chemical_formula_sum 'Ti3 P1 Au1'
_symmetry_space_group_name_H-M 'P m -3 m'
_symmetry_Int_Tables_number 221
_symmetry_space_group_name_Hall '-P 4 2 3'
_cell_length_a 4.5080
_cell_length_b 4.5080
_cell_length_c 4.5080
_cell_angle_alpha 90.00
_cell_angle_beta 90.00
_cell_angle_gamma 90.00
loop_
_atom_site_label
_atom_site_fract_x
_atom_site_fract_y
_atom_site_fract_z
Ti1 0.0000 0.0000 0.5000
P1 0.0000 0.0000 0.0000
Au1 0.5000 0.5000 0.5000

---

# Ca2RuW (PBE-GGA, relaxed)
# - calculated density (g/cm³) = 7.68
# - DFT formation energy (eV per atom) = 0.785
# - energy relative to the lowest polymorph listed for this composition (meV/atom) = 515
data_Ca2RuW
_chemical_formula_sum 'Ca2 Ru1 W1'
_symmetry_space_group_name_H-M 'P 4/m m m'
_symmetry_Int_Tables_number 123
_symmetry_space_group_name_Hall '-P 4 2'
_cell_length_a 3.9679
_cell_length_b 3.9679
_cell_length_c 5.0154
_cell_angle_alpha 90.00
_cell_angle_beta 90.00
_cell_angle_gamma 90.00
loop_
_atom_site_label
_atom_site_fract_x
_atom_site_fract_y
_atom_site_fract_z
Ca1 0.0000 0.5000 0.0000
Ru1 0.0000 0.0000 0.5000
W1 0.5000 0.5000 0.5000

---

# TeO (PBE-GGA, relaxed)
# - calculated density (g/cm³) = 4.40
# - uncorrected formation energy (kJ/mol of atoms) = -1.7
# - energy relative to the lowest polymorph listed for this composition (meV/atom) = 525
data_TeO
_chemical_formula_sum 'Te2 O2'
_symmetry_space_group_name_H-M 'P 63 m c'
_symmetry_Int_Tables_number 186
_symmetry_space_group_name_Hall 'P 6c -2c'
_cell_length_a 3.7662
_cell_length_b 3.7662
_cell_length_c 8.8249
_cell_angle_alpha 90.00
_cell_angle_beta 90.00
_cell_angle_gamma 120.00
loop_
_atom_site_label
_atom_site_fract_x
_atom_site_fract_y
_atom_site_fract_z
Te1 0.3333 0.6667 0.0000
O1 0.3333 0.6667 0.5513

---

# Na2SnO6 (PBE-GGA, relaxed)
# - calculated density (g/cm³) = 3.15
# - uncorrected formation energy (kJ/mol of atoms) = -33.3
# - energy relative to the lowest polymorph listed for this composition (meV/atom) = 653
data_Na2SnO6
_chemical_formula_sum 'Na6 Sn3 O18'
_symmetry_space_group_name_H-M 'R -3'
_symmetry_Int_Tables_number 148
_symmetry_space_group_name_Hall '-R 3'
_cell_length_a 6.4588
_cell_length_b 6.4588
_cell_length_c 11.3964
_cell_angle_alpha 90.00
_cell_angle_beta 90.00
_cell_angle_gamma 120.00
loop_
_atom_site_label
_atom_site_fract_x
_atom_site_fract_y
_atom_site_fract_z
Na1 0.0000 0.0000 0.1677
Sn1 0.0000 0.0000 0.5000
O1 0.0034 0.7113 0.5746

---

# BaScV3 (PBE-GGA, relaxed)
# - calculated density (g/cm³) = 4.95
# - DFT formation energy (eV per atom) = 2.064
# - energy relative to the lowest polymorph listed for this composition (meV/atom) = 673
data_BaScV3
_chemical_formula_sum 'Ba1 Sc1 V3'
_symmetry_space_group_name_H-M 'P m -3 m'
_symmetry_Int_Tables_number 221
_symmetry_space_group_name_Hall '-P 4 2 3'
_cell_length_a 4.8266
_cell_length_b 4.8266
_cell_length_c 4.8266
_cell_angle_alpha 90.00
_cell_angle_beta 90.00
_cell_angle_gamma 90.00
loop_
_atom_site_label
_atom_site_fract_x
_atom_site_fract_y
_atom_site_fract_z
Ba1 0.0000 0.0000 0.0000
Sc1 0.5000 0.5000 0.5000
V1 0.0000 0.0000 0.5000

---

# SrCaCl (PBE-GGA, relaxed)
# - calculated density (g/cm³) = 2.58
# - uncorrected formation energy (kJ/mol of atoms) = -101.7
# - energy relative to the lowest polymorph listed for this composition (meV/atom) = 0
data_SrCaCl
_chemical_formula_sum 'Sr1 Ca1 Cl1'
_symmetry_space_group_name_H-M 'P 3 m 1'
_symmetry_Int_Tables_number 156
_cell_length_a 4.0438
_cell_length_b 4.0438
_cell_length_c 7.4224
_cell_angle_alpha 90.00
_cell_angle_beta 90.00
_cell_angle_gamma 120.00
loop_
_symmetry_equiv_pos_as_xyz
'x,y,z'
'-y,x-y,z'
'-x+y,-x,z'
'-y,-x,z'
'-x+y,y,z'
'x,x-y,z'
loop_
_atom_site_label
_atom_site_fract_x
_atom_site_fract_y
_atom_site_fract_z
Sr1 0.0000 0.0000 0.0000
Ca1 0.3333 0.6667 0.4290
Cl1 0.6667 0.3333 0.7037

---

# AgHgIr2 (PBE-GGA, relaxed)
# - calculated density (g/cm³) = 17.08
# - DFT formation energy (eV per atom) = 0.622
data_AgHgIr2
_chemical_formula_sum 'Ag2 Hg2 Ir4'
_symmetry_space_group_name_H-M 'I 4/m m m'
_symmetry_Int_Tables_number 139
_symmetry_space_group_name_Hall '-I 4 2'
_cell_length_a 3.9543
_cell_length_b 3.9543
_cell_length_c 8.6146
_cell_angle_alpha 90.00
_cell_angle_beta 90.00
_cell_angle_gamma 90.00
loop_
_atom_site_label
_atom_site_fract_x
_atom_site_fract_y
_atom_site_fract_z
Ag1 0.0000 0.0000 0.0000
Hg1 0.0000 0.0000 0.5000
Ir1 0.0000 0.5000 0.2500

---

# PaNb2Al (PBE-GGA, relaxed)
# - calculated density (g/cm³) = 9.56
# - DFT formation energy (eV per atom) = -0.122
# - energy relative to the lowest polymorph listed for this composition (meV/atom) = 0
data_PaNb2Al
_chemical_formula_sum 'Pa1 Nb2 Al1'
_symmetry_space_group_name_H-M 'P 4/m m m'
_symmetry_Int_Tables_number 123
_symmetry_space_group_name_Hall '-P 4 2'
_cell_length_a 4.5889
_cell_length_b 4.5889
_cell_length_c 3.6599
_cell_angle_alpha 90.00
_cell_angle_beta 90.00
_cell_angle_gamma 90.00
loop_
_atom_site_label
_atom_site_fract_x
_atom_site_fract_y
_atom_site_fract_z
Pa1 0.0000 0.0000 0.0000
Nb1 0.0000 0.5000 0.5000
Al1 0.5000 0.5000 0.0000